Record 1
A relaxed structure of Zr3InRh6. Source: Alexandria via LeMat-Bulk, functional GGA-PBE.

Unit cell a=7.8099 b=4.6442 c=10.0640 alpha=90.00 beta=112.04 gamma=90.00
Last column: nearest neighbours and their distance in Å.
Element x y z (fractional)
Zr (0.0230, 0.2500, 0.3784)  9 Rh 2.72-3.04
Zr (0.1413, 0.7500, 0.2008)  7 Rh 2.66-2.83
Zr (0.2980, 0.2500, 0.9862)  10 Rh 2.73-2.95
Zr (0.7020, 0.7500, 0.0138)  10 Rh 2.73-2.95
Zr (0.8587, 0.2500, 0.7992)  7 Rh 2.66-2.83
Zr (0.9770, 0.7500, 0.6216)  9 Rh 2.72-3.04
In (0.4503, 0.2500, 0.5805)  8 Rh 2.67-2.86
In (0.5497, 0.7500, 0.4195)  8 Rh 2.67-2.86
Rh (0.0459, 0.7500, 0.9164)  6 Zr 2.67-2.95, 2 Rh 2.82-2.99
Rh (0.1717, 0.2500, 0.6795)  1 In 2.71, 4 Zr 2.72-2.87, 4 Rh 2.80-3.02
Rh (0.2364, 0.7500, 0.5016)  4 Zr 2.72-2.86, 3 In 2.80-2.86, 2 Rh 3.02
Rh (0.3445, 0.7500, 0.8232)  4 Zr 2.73-2.94, 8 Rh 2.80-3.02
Rh (0.3500, 0.2500, 0.2845)  4 Zr 2.78-3.04, 3 In 2.78-2.84, 4 Rh 2.97-3.00
Rh (0.4402, 0.7500, 0.1340)  4 Zr 2.66-2.76, 1 In 2.67, 4 Rh 2.80-2.93
Rh (0.5598, 0.2500, 0.8660)  4 Zr 2.66-2.76, 1 In 2.67, 4 Rh 2.80-2.93
Rh (0.6500, 0.7500, 0.7155)  4 Zr 2.78-3.04, 3 In 2.78-2.84, 4 Rh 2.97-3.00
Rh (0.6555, 0.2500, 0.1768)  4 Zr 2.73-2.94, 8 Rh 2.80-3.02
Rh (0.7636, 0.2500, 0.4984)  4 Zr 2.72-2.86, 3 In 2.80-2.86, 2 Rh 3.02
Rh (0.8283, 0.7500, 0.3205)  1 In 2.71, 4 Zr 2.72-2.87, 4 Rh 2.80-3.02
Rh (0.9541, 0.2500, 0.0836)  6 Zr 2.67-2.95, 2 Rh 2.82-2.99

DOS(E_F) in states/eV per atom: 0.64

---

Record 2
A relaxed structure of ZrIn2Rh. Source: Alexandria via LeMat-Bulk, functional GGA-PBE.

Unit cell a=6.1999 b=6.1999 c=6.1999 alpha=102.22 beta=102.22 gamma=125.22
Last column: nearest neighbours and their distance in Å.
Element x y z (fractional)
Zr (0.0000, 0.0000, 0.0000)  2 Rh 2.85, 4 In 3.04
Zr (0.7500, 0.2500, 0.5000)  2 Rh 2.85, 4 In 3.04
In (0.1602, 0.6250, 0.0352)  2 Rh 2.66, 2 In 2.90
In (0.3750, 0.4102, 0.5352)  2 Rh 2.66, 2 In 2.90
In (0.5898, 0.1250, 0.9648)  2 Rh 2.66, 2 In 2.90
In (0.8750, 0.8398, 0.4648)  2 Rh 2.66, 2 In 2.90
Rh (0.2500, 0.7500, 0.5000)  4 In 2.66, 2 Zr 2.85
Rh (0.5000, 0.5000, 0.0000)  4 In 2.66, 2 Zr 2.85

DOS(E_F) in states/eV per atom: 0.80

---

Record 3
A relaxed structure of Zr2InRh. Source: Alexandria via LeMat-Bulk, functional GGA-PBE.

Unit cell a=4.8160 b=4.8160 c=4.8160 alpha=60.00 beta=60.00 gamma=60.00
Last column: nearest neighbours and their distance in Å.
Element x y z (fractional)
Zr (0.0000, 0.0000, 0.0000)  4 Zr 2.95, 4 Rh 2.95
Zr (0.2500, 0.2500, 0.2500)  4 In 2.95, 4 Zr 2.95
In (0.5000, 0.5000, 0.5000)  4 Rh 2.95, 4 Zr 2.95
Rh (0.7500, 0.7500, 0.7500)  4 In 2.95, 4 Zr 2.95

DOS(E_F) in states/eV per atom: 1.03

---

Record 4
A relaxed structure of ZrIn5Rh6. Source: Alexandria via LeMat-Bulk, functional GGA-PBE.

Unit cell a=7.0364 b=7.0364 c=6.9041 alpha=90.00 beta=90.00 gamma=143.19
Last column: nearest neighbours and their distance in Å.
Element x y z (fractional)
Zr (0.0000, 0.0000, 0.0000)  8 Rh 2.81
In (0.0000, 0.0000, 0.5000)  8 Rh 2.81-2.82, 4 In 3.14
In (0.3334, 0.6666, 0.0000)  8 Rh 2.81-2.82, 2 Zr 3.14, 2 In 3.15
In (0.3341, 0.6659, 0.5000)  8 Rh 2.82-2.83, 2 In 3.14
In (0.6659, 0.3341, 0.5000)  8 Rh 2.82-2.83, 2 In 3.14
In (0.6666, 0.3334, 0.0000)  8 Rh 2.81-2.82, 2 Zr 3.14, 2 In 3.15
Rh (0.1662, 0.8338, 0.2495)  1 Zr 2.81, 7 In 2.81-2.83, 2 Rh 3.14
Rh (0.1662, 0.8338, 0.7505)  1 Zr 2.81, 7 In 2.81-2.83, 2 Rh 3.14
Rh (0.5000, 0.5000, 0.2484)  2 Zr 2.81, 6 In 2.81-2.82, 4 Rh 3.14
Rh (0.5000, 0.5000, 0.7516)  2 Zr 2.81, 6 In 2.81-2.82, 4 Rh 3.14
Rh (0.8338, 0.1662, 0.2495)  1 Zr 2.81, 7 In 2.81-2.83, 2 Rh 3.14
Rh (0.8338, 0.1662, 0.7505)  1 Zr 2.81, 7 In 2.81-2.83, 2 Rh 3.14

DOS(E_F) in states/eV per atom: 0.30

---

Number 1: formation energy -0.688 eV/atom. Number 2: formation energy -0.087 eV/atom. Number 3: formation energy -0.256 eV/atom. Number 4: formation energy -0.539 eV/atom.